## KPrDyFeO6 (PBE+U)

Data for a relaxed structure of KPrDyFeO6.

a = 8.0967 Å, b = 8.0967 Å, c = 8.0967 Å
α = 90.00°, β = 90.00°, γ = 90.00°
With the nearest neighbours (Å) after each atom.
Space group F-43m (No. 216)
One atom of each set of equivalent atoms:
K: 0.0000 0.0000 0.0000 x4  12 O 2.87
Pr: 0.0000 0.0000 0.5000 x4  12 O 2.87
Dy: 0.2500 0.2500 0.2500 x4  6 O 2.18
Fe: 0.2500 0.2500 0.7500 x4  6 O 1.87
O: 0.0190 0.2500 0.7500 x24  1 Fe 1.87

Computed properties:
N(E_F): 0.0359 states/eV per atom
Crystal system: cubic
Uncorrected energy: -6.706 eV/atom
Total moment: 12.08 μB/cell